Below is Li2TaRh at its PBEsol-relaxed geometry, with properties calculated at the meta-GGA SCAN level.

```
Li2TaRh
1.0
1.4263 -2.2248 0.0000
1.4263 2.2248 0.0000
0.0000 0.0000 9.4586
Li Ta Rh
2 1 1
Cartesian
0.0000 0.0000 2.0973
0.0000 0.0000 7.3613
1.4263 0.0000 4.7293
1.4263 0.0000 0.0000
```

As for the crystal system: orthorhombic. Its energy above the lowest structure with this stoichiometry is 136.8 meV/atom. The calculation puts the formation enthalpy at 0 K at 0.1129 eV/atom. Its volume is 60 Å³/f.u.

Below is Li2TaRh at its PBEsol-relaxed geometry, with properties calculated at the meta-GGA SCAN level.

```
Li2TaRh
1.0
3.2106 0.0000 0.0000
0.0000 3.2106 0.0000
0.0000 0.0000 5.1692
Li Ta Rh
2 1 1
Cartesian
0.0000 0.0000 1.1162
0.0000 0.0000 4.0530
1.6053 1.6053 2.5846
1.6053 1.6053 0.0000
```

As for the crystal system: tetragonal. Its energy above the lowest structure with this stoichiometry is 237.1 meV/atom. The calculation puts the formation enthalpy at 0 K at 0.2132 eV/atom. Its volume is 53 Å³/f.u.

Below is LiTaRh at its PBEsol-relaxed geometry, with properties calculated at the meta-GGA SCAN level.

```
LiTaRh
1.0
0.0000 2.9472 2.9472
2.9472 0.0000 2.9472
2.9472 2.9472 0.0000
Li Ta Rh
1 1 1
Cartesian
0.0000 0.0000 0.0000
1.4736 1.4736 1.4736
2.9472 2.9472 2.9472
```

As for the crystal system: cubic. The calculation puts the formation enthalpy at 0 K at 0.3819 eV/atom. Its volume is 51 Å³/f.u.

Below is LiTc2Rh at its PBEsol-relaxed geometry, with properties calculated at the meta-GGA SCAN level.

```
LiTc2Rh
1.0
0.0000 2.9797 2.9797
2.9797 0.0000 2.9797
2.9797 2.9797 0.0000
Li Tc Rh
1 2 1
Cartesian
0.0000 0.0000 0.0000
1.4898 1.4898 1.4898
4.4695 4.4695 4.4695
2.9797 2.9797 2.9797
```

As for the crystal system: cubic. The calculation puts the formation enthalpy at 0 K at 0.4364 eV/atom. Its volume is 53 Å³/f.u.

Below is Li2TcRh at its PBEsol-relaxed geometry, with properties calculated at the meta-GGA SCAN level.

```
Li2TcRh
1.0
2.5490 0.0000 0.0000
0.0000 4.3189 0.0000
0.0000 0.0000 4.8565
Li Tc Rh
2 1 1
Cartesian
0.0000 0.0000 1.1935
0.0000 0.0000 3.6629
1.2745 2.1595 2.4282
1.2745 2.1595 0.0000
```

As for the crystal system: orthorhombic. Its energy above the lowest structure with this stoichiometry is 24.9 meV/atom. The calculation puts the formation enthalpy at 0 K at 0.1349 eV/atom. Its volume is 53 Å³/f.u.

Below is LiTcRh2 at its PBEsol-relaxed geometry, with properties calculated at the meta-GGA SCAN level.

```
LiTcRh2
1.0
2.7729 0.0000 0.0000
0.0000 2.7729 0.0000
0.0000 0.0000 6.6398
Li Tc Rh
1 1 2
Cartesian
0.0000 0.0000 0.0000
0.0000 0.0000 3.3199
1.3864 1.3864 1.5804
1.3864 1.3864 5.0595
```

As for the crystal system: tetragonal. Its energy above the lowest structure with this stoichiometry is 0.0 meV/atom. The calculation puts the formation enthalpy at 0 K at -0.1354 eV/atom. Its volume is 51 Å³/f.u.

Below is LiTcRh2 at its PBEsol-relaxed geometry, with properties calculated at the meta-GGA SCAN level.

```
LiTcRh2
1.0
1.3741 -2.2566 0.0000
1.3741 2.2566 0.0000
0.0000 0.0000 8.7940
Li Tc Rh
1 1 2
Cartesian
0.0000 0.0000 0.0000
0.0000 0.0000 4.3970
1.3741 0.0000 2.1872
1.3741 0.0000 6.6069
```

As for the crystal system: orthorhombic. Its energy above the lowest structure with this stoichiometry is 196.5 meV/atom. The calculation puts the formation enthalpy at 0 K at 0.0611 eV/atom. Its volume is 55 Å³/f.u.

Below is LiTcRh2 at its PBEsol-relaxed geometry, with properties calculated at the meta-GGA SCAN level.

```
LiTcRh2
1.0
3.9330 0.0000 0.0000
0.0000 3.9330 0.0000
0.0000 0.0000 3.3926
Li Tc Rh
1 1 2
Cartesian
0.0000 0.0000 0.0000
1.9665 1.9665 0.0000
0.0000 1.9665 1.6963
1.9665 0.0000 1.6963
```

As for the crystal system: tetragonal. Its energy above the lowest structure with this stoichiometry is 187.4 meV/atom. The calculation puts the formation enthalpy at 0 K at 0.0519 eV/atom. Its volume is 52 Å³/f.u.

Below is LiTcRh2 at its PBEsol-relaxed geometry, with properties calculated at the meta-GGA SCAN level.

```
LiTcRh2
1.0
-1.8045 1.8045 3.9806
1.8045 -1.8045 3.9806
1.8045 1.8045 -3.9806
Li Tc Rh
1 1 2
Cartesian
0.0000 0.0000 0.0000
1.8045 0.0000 1.9903
0.0000 0.0000 3.9806
0.0000 1.8045 1.9903
```

As for the crystal system: tetragonal. Its energy above the lowest structure with this stoichiometry is 139.0 meV/atom. The calculation puts the formation enthalpy at 0 K at 0.0035 eV/atom. Its volume is 52 Å³/f.u.

Below is Li2TcRh at its PBEsol-relaxed geometry, with properties calculated at the meta-GGA SCAN level.

```
Li2TcRh
1.0
2.4899 0.0000 0.0000
0.0000 2.4899 0.0000
0.0000 0.0000 8.6483
Li Tc Rh
2 1 1
Cartesian
0.0000 0.0000 2.0613
0.0000 0.0000 6.5870
1.2450 1.2450 4.3242
1.2450 1.2450 0.0000
```

As for the crystal system: tetragonal. Its energy above the lowest structure with this stoichiometry is 0.0 meV/atom. The calculation puts the formation enthalpy at 0 K at 0.1101 eV/atom. Its volume is 54 Å³/f.u.

Below is LiTe2Rh at its PBEsol-relaxed geometry, with properties calculated at the meta-GGA SCAN level.

```
LiTe2Rh
1.0
4.0873 0.0000 0.0000
0.0000 1.8496 5.0046
0.0000 -1.8496 5.0046
Li Te Rh
1 2 1
Cartesian
0.0000 0.0000 0.0000
0.0000 0.0000 2.7285
2.0437 0.0000 5.5442
2.0437 0.0000 8.3189
```

As for the crystal system: orthorhombic. The energy relative to the elements, uncorrected comes out at -0.39 eV/atom. Its volume is 76 Å³/f.u.

Below is LiTe2Rh at its PBEsol-relaxed geometry, with properties calculated at the meta-GGA SCAN level.

```
LiTe2Rh
1.0
1.9895 1.1487 7.9347
-1.9895 1.1487 7.9347
0.0000 -2.2973 7.9347
Li Te Rh
1 2 1
Cartesian
0.0000 0.0000 0.0000
0.0000 0.0000 2.6572
0.0000 0.0000 21.1470
0.0000 0.0000 11.9021
```

As for the crystal system: trigonal. The energy relative to the elements, uncorrected comes out at -0.54 eV/atom. Its volume is 109 Å³/f.u.

Below is LiTiRh2 at its PBEsol-relaxed geometry, with properties calculated at the meta-GGA SCAN level.

```
LiTiRh2
1.0
0.0000 2.9700 2.9700
2.9700 0.0000 2.9700
2.9700 2.9700 0.0000
Li Ti Rh
1 1 2
Cartesian
0.0000 0.0000 0.0000
2.9700 2.9700 2.9700
1.4850 1.4850 1.4850
4.4549 4.4549 4.4549
```

As for the crystal system: cubic. The calculation puts the formation enthalpy at 0 K at -0.7437 eV/atom. Its volume is 52 Å³/f.u.

Below is Li2TiRh at its PBEsol-relaxed geometry, with properties calculated at the meta-GGA SCAN level.

```
Li2TiRh
1.0
-1.7452 1.7452 9.9042
1.7452 -1.7452 9.9042
1.7452 1.7452 -9.9042
Li Ti Rh
4 2 2
Cartesian
2.6178 0.7942 -2.4761
0.7942 0.8726 2.4761
-0.8726 0.9510 7.4282
0.9510 0.8726 12.3803
1.7452 0.0000 4.9521
0.0000 0.0000 9.9042
0.0000 0.0000 0.0000
0.0000 1.7452 4.9521
```

As for the crystal system: tetragonal. The calculation puts the formation enthalpy at 0 K at -0.1262 eV/atom. Its volume is 60 Å³/f.u.